Below is AgSn4Au after structural relaxation, with properties calculated at the PBE level.

Summary:
- Total energy: -3.73 eV/atom
- Crystal system: triclinic
- Energy of formation: -0.037 eV/atom
- Calculated density: 8.27 g cm⁻³
- ΔE to the lowest computed polymorph: 0 meV per atom

```
12
Lattice="-0.927 -1.453 6.520 5.460 -4.075 -0.243 5.624 2.998 4.735" Properties=species:S:1:pos:R:3 pbc="T T T"
Sn 5.867 -3.374 3.538
Sn 4.789 1.528 4.453
Sn 7.484 -0.467 4.093
Sn 3.101 -1.295 3.421
Sn 2.673 -2.063 6.920
Sn 5.368 -4.059 6.560
Sn 7.056 -1.236 7.592
Sn 4.290 0.844 7.475
Au 2.812 1.499 2.368
Au 5.079 -1.265 5.507
Ag 3.864 -3.420 1.448
Ag 6.294 0.889 9.565
```